Computed, not measured: a relaxed PmSm3Cd crystal at the PBE-GGA level of DFT.

Lattice parameters (Å, degrees): 14.974 13.446 6.454 90.00 103.96 90.00
Space group C2/c (No. 15)
Asymmetric unit:
1 Pm 0.096 0.199 0.499 (multiplicity 8)
2 Sm 0.102 0.064 0.981 (multiplicity 8)
3 Sm 0.184 0.311 0.123 (multiplicity 8)
4 Sm 0.199 0.435 0.629 (multiplicity 8)
5 Cd 0.000 0.370 0.750 (multiplicity 4)
6 Cd 0.000 0.411 0.250 (multiplicity 4)

Summary:
E above lowest polymorph	77	meV per atom
size of the total moment	0.0	μB per formula unit
formation energy	-3	kJ/mol of atoms
electronic total energy	-159.802	eV/cell